Entry from the Alexandria database: a relaxed TbTaNb crystal (PBE).

Lattice parameters (Å, degrees): 15.132 3.398 4.996 90.00 90.00 90.00
Fractional positions:
Tb1 0.173 0.000 0.000
Tb2 0.173 0.500 0.500
Tb3 0.827 0.000 0.000
Tb4 0.827 0.500 0.500
Ta1 0.000 0.000 0.404
Ta2 0.000 0.500 0.904
Ta3 0.500 0.000 0.025
Ta4 0.500 0.500 0.525
Nb1 0.356 0.000 0.524
Nb2 0.356 0.500 0.024
Nb3 0.644 0.000 0.524
Nb4 0.644 0.500 0.024

Calculated values
DFT total energy	-102.14	eV/cell
D(E_F)	16.9	states/eV per cell
energy of formation from the pure elements	32.7	kJ/mol of atoms